DFT (PBE+U) results for crystalline Li3CrCu4O8 at its relaxed geometry.

Output
**Density**: 4.92 g/cm3
**Symmetry**: No. 12
**Energy**: -5.51 eV/atom

```
16
Lattice="5.486 -2.841 0.000 5.486 2.841 0.000 -2.734 0.000 4.924" Properties=species:S:1:pos:R:3 pbc="T T T"
Li 0.000 0.000 0.000
Li 1.376 1.420 2.462
Li 1.376 -1.420 2.462
Cr 4.119 0.000 2.462
Cu -1.367 0.000 2.462
Cu 2.743 1.420 0.000
Cu 2.743 -1.420 0.000
Cu 5.486 0.000 0.000
O 0.175 0.000 3.647
O 3.140 1.335 3.596
O 2.476 0.000 1.243
O 5.098 1.335 1.328
O 3.140 -1.335 3.596
O 5.762 0.000 3.681
O 5.098 -1.335 1.328
O 8.063 0.000 1.277
```